Crystalline Tb16Pr7Y6 at its relaxed geometry. Source: Alexandria, functional PBE.

Results
E_form in eV per atom: 0.247
SG: Fm-3m, No. 225

Lattice parameters (Å, degrees): 11.274 11.274 11.274 60.00 60.00 60.00
Atoms (fractional coordinates):
Tb1 0.042 0.653 0.653
Tb2 0.126 0.126 0.126
Tb3 0.126 0.126 0.621
Tb4 0.126 0.621 0.126
Tb5 0.347 0.347 0.347
Tb6 0.347 0.347 0.958
Tb7 0.347 0.958 0.347
Tb8 0.379 0.874 0.874
Tb9 0.621 0.126 0.126
Tb10 0.653 0.042 0.653
Tb11 0.653 0.653 0.042
Tb12 0.653 0.653 0.653
Tb13 0.874 0.379 0.874
Tb14 0.874 0.874 0.379
Tb15 0.874 0.874 0.874
Tb16 0.958 0.347 0.347
Pr1 0.000 0.000 0.000
Pr2 0.000 0.000 0.500
Pr3 0.000 0.500 0.000
Pr4 0.000 0.500 0.500
Pr5 0.500 0.000 0.000
Pr6 0.500 0.000 0.500
Pr7 0.500 0.500 0.000
Y1 0.268 0.268 0.732
Y2 0.268 0.732 0.268
Y3 0.268 0.732 0.732
Y4 0.732 0.268 0.268
Y5 0.732 0.268 0.732
Y6 0.732 0.732 0.268



Crystalline Tb7Pr2Y3 at its relaxed geometry. Source: Alexandria, functional PBE.

Results
E_form in eV per atom: 0.072
SG: P2/m, No. 10
Distance to the lowest polymorph of the same formula in meV/atom: 0

Lattice parameters (Å, degrees): 6.385 3.544 17.586 90.00 96.11 90.00
Atoms (fractional coordinates):
Tb1 0.000 0.000 0.000
Tb2 0.227 0.500 0.166
Tb3 0.257 0.500 0.499
Tb4 0.275 0.000 0.837
Tb5 0.725 0.000 0.163
Tb6 0.743 0.500 0.501
Tb7 0.773 0.500 0.834
Pr1 0.058 0.500 0.672
Pr2 0.942 0.500 0.328
Y1 0.452 0.000 0.342
Y2 0.500 0.500 0.000
Y3 0.548 0.000 0.658



Crystalline Tb5Pr3Y2 at its relaxed geometry. Source: Alexandria, functional PBE.

Results
E_form in eV per atom: 0.189
SG: C2/c, No. 15

Lattice parameters (Å, degrees): 9.615 9.615 9.572 108.50 108.50 111.35
Atoms (fractional coordinates):
Tb1 0.024 0.976 0.750
Tb2 0.148 0.377 0.773
Tb3 0.271 0.729 0.250
Tb4 0.377 0.148 0.273
Tb5 0.469 0.531 0.250
Tb6 0.531 0.469 0.750
Tb7 0.623 0.852 0.727
Tb8 0.729 0.271 0.750
Tb9 0.852 0.623 0.227
Tb10 0.976 0.024 0.250
Pr1 0.020 0.269 0.048
Pr2 0.232 0.768 0.750
Pr3 0.269 0.020 0.548
Pr4 0.731 0.980 0.452
Pr5 0.768 0.232 0.250
Pr6 0.980 0.731 0.952
Y1 0.230 0.466 0.454
Y2 0.466 0.230 0.954
Y3 0.534 0.770 0.046
Y4 0.770 0.534 0.546



Crystalline Tb7Pr4Y at its relaxed geometry. Source: Alexandria, functional PBE.

Results
E_form in eV per atom: 0.085
SG: P-1, No. 2
Distance to the lowest polymorph of the same formula in meV/atom: 0

Lattice parameters (Å, degrees): 6.609 6.916 9.160 85.39 77.46 82.24
Atoms (fractional coordinates):
Tb1 0.000 0.000 0.000
Tb2 0.188 0.604 0.382
Tb3 0.318 0.200 0.642
Tb4 0.488 0.747 0.050
Tb5 0.512 0.253 0.950
Tb6 0.682 0.800 0.358
Tb7 0.812 0.396 0.618
Pr1 0.160 0.113 0.308
Pr2 0.362 0.693 0.717
Pr3 0.638 0.307 0.283
Pr4 0.840 0.887 0.692
Y1 0.000 0.500 0.000



Crystalline Tb2Pr3Y4 at its relaxed geometry. Source: Alexandria, functional PBE.

Results
E_form in eV per atom: 0.017
SG: C2/m, No. 12
Distance to the lowest polymorph of the same formula in meV/atom: 0

Lattice parameters (Å, degrees): 6.258 6.258 14.897 110.40 110.40 33.62
Atoms (fractional coordinates):
Tb1 0.053 0.053 0.220
Tb2 0.947 0.947 0.780
Pr1 0.391 0.391 0.558
Pr2 0.500 0.500 0.000
Pr3 0.609 0.609 0.442
Y1 0.170 0.170 0.669
Y2 0.278 0.278 0.111
Y3 0.722 0.722 0.889
Y4 0.830 0.830 0.331



Crystalline Tb5Pr6Y at its relaxed geometry. Source: Alexandria, functional PBE.

Results
E_form in eV per atom: 0.014
SG: Immm, No. 71
Distance to the lowest polymorph of the same formula in meV/atom: 5

Lattice parameters (Å, degrees): 9.625 9.625 9.625 148.80 115.95 72.96
Atoms (fractional coordinates):
Tb1 0.000 0.000 0.000
Tb2 0.167 0.667 0.500
Tb3 0.333 0.333 0.000
Tb4 0.667 0.667 0.000
Tb5 0.833 0.333 0.500
Pr1 0.083 0.833 0.250
Pr2 0.249 0.500 0.749
Pr3 0.417 0.167 0.250
Pr4 0.583 0.833 0.750
Pr5 0.751 0.500 0.251
Pr6 0.917 0.167 0.750
Y1 0.500 0.000 0.500



Crystalline Tb6Pr5Y at its relaxed geometry. Source: Alexandria, functional PBE.

Results
E_form in eV per atom: 0.013
SG: C2/m, No. 12
Distance to the lowest polymorph of the same formula in meV/atom: 0

Lattice parameters (Å, degrees): 6.293 6.293 11.970 95.02 95.02 120.00
Atoms (fractional coordinates):
Tb1 0.084 0.417 0.751
Tb2 0.250 0.250 0.249
Tb3 0.417 0.084 0.751
Tb4 0.583 0.916 0.249
Tb5 0.750 0.750 0.751
Tb6 0.916 0.583 0.249
Pr1 0.000 0.000 0.500
Pr2 0.167 0.833 0.000
Pr3 0.333 0.667 0.500
Pr4 0.667 0.333 0.500
Pr5 0.833 0.167 0.000
Y1 0.500 0.500 0.000



Crystalline TbPr8Y6 at its relaxed geometry. Source: Alexandria, functional PBE.

Results
E_form in eV per atom: 0.113
SG: R-3, No. 148
Distance to the lowest polymorph of the same formula in meV/atom: 0

Lattice parameters (Å, degrees): 8.835 8.835 8.835 62.97 62.97 62.97
Atoms (fractional coordinates):
Tb1 0.000 0.000 0.000
Pr1 0.114 0.715 0.754
Pr2 0.246 0.886 0.285
Pr3 0.285 0.246 0.886
Pr4 0.422 0.422 0.422
Pr5 0.578 0.578 0.578
Pr6 0.715 0.754 0.114
Pr7 0.754 0.114 0.715
Pr8 0.886 0.285 0.246
Y1 0.095 0.539 0.250
Y2 0.250 0.095 0.539
Y3 0.461 0.750 0.905
Y4 0.539 0.250 0.095
Y5 0.750 0.905 0.461
Y6 0.905 0.461 0.750



Crystalline TbPr9Y2 at its relaxed geometry. Source: Alexandria, functional PBE.

Results
E_form in eV per atom: 0.012
SG: P4/mmm, No. 123

Lattice parameters (Å, degrees): 5.200 5.200 15.604 90.00 90.00 90.00
Atoms (fractional coordinates):
Tb1 0.000 0.000 0.000
Pr1 0.000 0.500 0.166
Pr2 0.000 0.500 0.500
Pr3 0.000 0.500 0.834
Pr4 0.500 0.000 0.166
Pr5 0.500 0.000 0.500
Pr6 0.500 0.000 0.834
Pr7 0.500 0.500 0.000
Pr8 0.500 0.500 0.333
Pr9 0.500 0.500 0.667
Y1 0.000 0.000 0.333
Y2 0.000 0.000 0.667



Crystalline TbPrY3 at its relaxed geometry. Source: Alexandria, functional PBE.

Results
E_form in eV per atom: 0.113
SG: C2/c, No. 15
Distance to the lowest polymorph of the same formula in meV/atom: 102

Lattice parameters (Å, degrees): 8.805 8.805 9.864 95.24 95.24 117.72
Atoms (fractional coordinates):
Tb1 0.017 0.983 0.750
Tb2 0.405 0.595 0.250
Tb3 0.595 0.405 0.750
Tb4 0.983 0.017 0.250
Pr1 0.192 0.291 0.544
Pr2 0.291 0.192 0.044
Pr3 0.709 0.808 0.956
Pr4 0.808 0.709 0.456
Y1 0.021 0.577 0.686
Y2 0.122 0.743 0.057
Y3 0.257 0.878 0.443
Y4 0.296 0.504 0.882
Y5 0.423 0.979 0.814
Y6 0.496 0.704 0.618
Y7 0.504 0.296 0.382
Y8 0.577 0.021 0.186
Y9 0.704 0.496 0.118
Y10 0.743 0.122 0.557
Y11 0.878 0.257 0.943
Y12 0.979 0.423 0.314



Crystalline Tb3PrY6 at its relaxed geometry. Source: Alexandria, functional PBE.

Results
E_form in eV per atom: 0.114
SG: Cmc2_1, No. 36
Distance to the lowest polymorph of the same formula in meV/atom: 0

Lattice parameters (Å, degrees): 11.609 11.609 6.433 90.00 90.00 130.70
Atoms (fractional coordinates):
Tb1 0.081 0.919 0.500
Tb2 0.203 0.458 0.112
Tb3 0.458 0.203 0.612
Tb4 0.542 0.797 0.112
Tb5 0.797 0.542 0.612
Tb6 0.919 0.081 0.000
Pr1 0.338 0.662 0.586
Pr2 0.662 0.338 0.086
Y1 0.042 0.606 0.266
Y2 0.121 0.239 0.527
Y3 0.198 0.802 0.806
Y4 0.239 0.121 0.027
Y5 0.394 0.958 0.266
Y6 0.485 0.515 0.784
Y7 0.515 0.485 0.284
Y8 0.606 0.042 0.766
Y9 0.761 0.879 0.527
Y10 0.802 0.198 0.306
Y11 0.879 0.761 0.027
Y12 0.958 0.394 0.766



Crystalline TbPrY at its relaxed geometry. Source: Alexandria, functional PBE.

Results
E_form in eV per atom: 0.017
SG: P3m1, No. 156
Distance to the lowest polymorph of the same formula in meV/atom: 0

Lattice parameters (Å, degrees): 3.619 3.619 8.837 90.00 90.00 120.00
Atoms (fractional coordinates):
Tb1 0.000 0.000 0.000
Pr1 0.333 0.667 0.663
Y1 0.667 0.333 0.325



Crystalline Tb6Pr3Y at its relaxed geometry. Source: Alexandria, functional PBE.

Results
E_form in eV per atom: 0.148
SG: Cmc2_1, No. 36
Distance to the lowest polymorph of the same formula in meV/atom: 0

Lattice parameters (Å, degrees): 10.985 10.985 6.458 90.00 90.00 120.25
Atoms (fractional coordinates):
Tb1 0.033 0.967 0.500
Tb2 0.056 0.477 0.015
Tb3 0.271 0.729 0.302
Tb4 0.284 0.374 0.199
Tb5 0.374 0.284 0.699
Tb6 0.477 0.056 0.515
Tb7 0.523 0.944 0.015
Tb8 0.626 0.716 0.199
Tb9 0.716 0.626 0.699
Tb10 0.729 0.271 0.802
Tb11 0.944 0.523 0.515
Tb12 0.967 0.033 0.000
Pr1 0.063 0.293 0.616
Pr2 0.293 0.063 0.116
Pr3 0.387 0.613 0.723
Pr4 0.613 0.387 0.223
Pr5 0.707 0.937 0.616
Pr6 0.937 0.707 0.116
Y1 0.187 0.813 0.768
Y2 0.813 0.187 0.268



Crystalline Tb3PrY6 at its relaxed geometry. Source: Alexandria, functional PBE.

Results
E_form in eV per atom: 0.144
SG: Cmc2_1, No. 36
Distance to the lowest polymorph of the same formula in meV/atom: 31

Lattice parameters (Å, degrees): 10.998 10.998 6.289 90.00 90.00 119.62
Atoms (fractional coordinates):
Tb1 0.110 0.890 0.500
Tb2 0.216 0.435 0.119
Tb3 0.435 0.216 0.619
Tb4 0.565 0.784 0.119
Tb5 0.784 0.565 0.619
Tb6 0.890 0.110 0.000
Pr1 0.294 0.706 0.416
Pr2 0.706 0.294 0.916
Y1 0.041 0.459 0.709
Y2 0.119 0.211 0.539
Y3 0.211 0.119 0.039
Y4 0.217 0.783 0.924
Y5 0.453 0.547 0.671
Y6 0.459 0.041 0.209
Y7 0.541 0.959 0.709
Y8 0.547 0.453 0.171
Y9 0.783 0.217 0.424
Y10 0.789 0.881 0.539
Y11 0.881 0.789 0.039
Y12 0.959 0.541 0.209



Crystalline Tb2Pr3Y6 at its relaxed geometry. Source: Alexandria, functional PBE.

Results
E_form in eV per atom: 0.016
SG: R-3m, No. 166
Distance to the lowest polymorph of the same formula in meV/atom: 0

Lattice parameters (Å, degrees): 32.267 32.267 32.267 6.42 6.42 6.42
Atoms (fractional coordinates):
Tb1 0.045 0.045 0.045
Tb2 0.955 0.955 0.955
Pr1 0.228 0.228 0.228
Pr2 0.500 0.500 0.500
Pr3 0.772 0.772 0.772
Y1 0.136 0.136 0.136
Y2 0.318 0.318 0.318
Y3 0.408 0.408 0.408
Y4 0.592 0.592 0.592
Y5 0.682 0.682 0.682
Y6 0.864 0.864 0.864



Crystalline Tb4Pr3Y3 at its relaxed geometry. Source: Alexandria, functional PBE.

Results
E_form in eV per atom: 0.087
SG: Amm2, No. 38

Lattice parameters (Å, degrees): 3.733 9.519 9.519 89.58 90.00 90.00
Atoms (fractional coordinates):
Tb1 0.000 0.000 0.000
Tb2 0.000 0.254 0.254
Tb3 0.000 0.504 0.754
Tb4 0.000 0.754 0.504
Pr1 0.500 0.300 0.953
Pr2 0.500 0.455 0.455
Pr3 0.500 0.953 0.300
Y1 0.000 0.121 0.629
Y2 0.000 0.629 0.121
Y3 0.500 0.801 0.801



Crystalline TbPr4Y2 at its relaxed geometry. Source: Alexandria, functional PBE.

Results
E_form in eV per atom: 0.059
SG: Fdd2, No. 43
Distance to the lowest polymorph of the same formula in meV/atom: 0

Lattice parameters (Å, degrees): 12.708 6.891 13.697 67.06 29.96 82.99
Atoms (fractional coordinates):
Tb1 0.000 0.000 0.000
Tb2 0.250 0.250 0.250
Pr1 0.138 0.289 0.076
Pr2 0.174 0.753 0.112
Pr3 0.289 0.138 0.497
Pr4 0.372 0.614 0.487
Pr5 0.614 0.372 0.528
Pr6 0.722 0.763 0.636
Pr7 0.753 0.174 0.961
Pr8 0.763 0.722 0.878
Y1 0.200 0.682 0.368
Y2 0.500 0.882 0.568
Y3 0.682 0.200 0.750
Y4 0.882 0.500 0.050



Crystalline TbPr6Y8 at its relaxed geometry. Source: Alexandria, functional PBE.

Results
E_form in eV per atom: 0.115
SG: R-3, No. 148

Lattice parameters (Å, degrees): 8.826 8.826 8.826 62.67 62.67 62.67
Atoms (fractional coordinates):
Tb1 0.000 0.000 0.000
Pr1 0.100 0.538 0.230
Pr2 0.230 0.100 0.538
Pr3 0.462 0.770 0.900
Pr4 0.538 0.230 0.100
Pr5 0.770 0.900 0.462
Pr6 0.900 0.462 0.770
Y1 0.112 0.714 0.754
Y2 0.246 0.888 0.286
Y3 0.286 0.246 0.888
Y4 0.423 0.423 0.423
Y5 0.577 0.577 0.577
Y6 0.714 0.754 0.112
Y7 0.754 0.112 0.714
Y8 0.888 0.286 0.246